1.
Compound: KCr2Cl
Source: Alexandria via LeMat-Bulk
Functional: GGA-PBEsol
Structure: optimized geometry

```
KCr2Cl
1.0
0.000 3.769 3.769
3.769 0.000 3.769
3.769 3.769 0.000
K Cr Cl
1 2 1
Cartesian
0.000 0.000 0.000
1.884 1.884 1.884
5.653 5.653 5.653
3.769 3.769 3.769
```

## Properties
Distance to the lowest polymorph of the same formula ... 0.692 eV per atom
Energy relative to the elements, uncorrected ... 4.7 eV per formula unit
Fermi-level density of states ... 3.11 states/eV/f.u.



2.
Compound: MnBe4Ni
Source: Alexandria via LeMat-Bulk
Functional: GGA-PBEsol
Structure: optimized geometry

```
MnBe4Ni
1.0
0.000 2.967 2.967
2.967 0.000 2.967
2.967 2.967 0.000
Mn Be Ni
1 4 1
Cartesian
0.000 0.000 0.000
3.710 2.224 2.224
2.224 3.710 2.224
2.224 2.224 3.710
3.710 3.710 3.710
1.483 1.483 1.483
```

## Properties
Fermi-level density of states ... 4.54 states/eV/f.u.
Calculated formation energy ... -0.192 eV per atom



3.
Compound: Ti6PtAu
Source: Alexandria via LeMat-Bulk
Functional: GGA-PBEsol
Structure: optimized geometry

```
Ti6PtAu
1.0
5.004 0.000 0.000
0.000 5.004 0.000
0.000 0.000 5.004
Ti Pt Au
6 1 1
Cartesian
0.000 1.266 2.502
0.000 3.738 2.502
1.266 2.502 0.000
2.502 0.000 1.266
2.502 0.000 3.738
3.738 2.502 0.000
2.502 2.502 2.502
0.000 0.000 0.000
```

## Properties
Fermi-level density of states ... 9.69 states/eV/f.u.
Calculated formation energy ... -0.530 eV per atom



4.
Compound: CrReOs
Source: Alexandria via LeMat-Bulk
Functional: GGA-PBEsol
Structure: optimized geometry

```
CrReOs
1.0
-1.482 1.482 4.586
1.482 -1.482 4.586
1.482 1.482 -4.586
Cr Re Os
1 1 1
Cartesian
0.000 0.000 0.000
0.000 0.000 3.274
0.000 0.000 6.143
```

## Properties
Distance to the lowest polymorph of the same formula ... 0.000 eV per atom
Fermi-level density of states ... 3.42 states/eV/f.u.
Calculated formation energy ... 0.261 eV per atom



5.
Compound: NbAs2OsBr
Source: Alexandria via LeMat-Bulk
Functional: GGA-PBEsol
Structure: optimized geometry

```
NbAs2OsBr
1.0
4.956 0.000 0.000
0.000 4.956 0.000
0.000 0.000 4.894
Nb As Os Br
1 2 1 1
Cartesian
0.000 0.000 0.000
0.000 2.478 0.000
2.478 0.000 0.000
2.478 2.478 2.447
0.000 0.000 2.447
```

## Properties
Energy relative to the elements, uncorrected ... 7.3 eV per formula unit
Fermi-level density of states ... 5.68 states/eV/f.u.



6.
Compound: ReMo2
Source: Alexandria via LeMat-Bulk
Functional: GGA-PBEsol
Structure: optimized geometry

```
ReMo2
1.0
4.390 0.000 0.000
-2.195 3.802 0.000
0.000 0.000 2.703
Re Mo
1 2
Cartesian
0.000 0.000 0.000
0.000 2.535 0.894
2.195 1.267 1.808
```

## Properties
Distance to the lowest polymorph of the same formula ... 0.000 eV per atom
Fermi-level density of states ... 2.66 states/eV/f.u.
Calculated formation energy ... 0.054 eV per atom



7.
Compound: Cr2HgSe3S
Source: Alexandria via LeMat-Bulk
Functional: GGA-PBEsol
Structure: optimized geometry

```
Cr2HgSe3S
1.0
-3.722 3.743 5.286
3.722 -3.743 5.286
3.722 3.743 -5.286
Cr Hg Se S
4 2 6 2
Cartesian
0.000 1.861 0.000
0.000 5.625 0.000
1.923 3.743 2.694
1.799 0.000 7.980
3.722 0.000 1.590
0.000 0.000 3.935
1.642 3.743 0.193
2.080 0.000 5.479
0.000 2.138 2.487
0.000 5.349 2.487
-2.058 3.743 5.200
2.058 3.743 5.200
3.722 2.163 2.908
0.000 1.580 8.194
```

## Properties
Energy relative to the elements, uncorrected ... -3.1 eV per formula unit
Fermi-level density of states ... 1.57 states/eV/f.u.



8.
Compound: YBeRhAu2
Source: Alexandria via LeMat-Bulk
Functional: GGA-PBEsol
Structure: optimized geometry

```
YBeRhAu2
1.0
5.006 0.000 0.000
0.000 5.006 0.000
0.000 0.000 3.990
Y Be Rh Au
1 1 1 2
Cartesian
0.000 0.000 0.000
2.503 2.503 0.000
2.503 2.503 1.995
0.000 2.503 1.995
2.503 0.000 1.995
```

## Properties
Fermi-level density of states ... 3.21 states/eV/f.u.
Calculated formation energy ... 0.051 eV per atom



9.
Compound: Sr3ScW
Source: Alexandria via LeMat-Bulk
Functional: GGA-PBEsol
Structure: optimized geometry

```
Sr3ScW
1.0
5.918 0.000 0.000
0.000 5.918 0.000
0.000 0.000 5.918
Sr Sc W
3 1 1
Cartesian
0.000 0.000 2.959
0.000 2.959 0.000
2.959 0.000 0.000
0.000 0.000 0.000
2.959 2.959 2.959
```

## Properties
Fermi-level density of states ... 5.57 states/eV/f.u.
Calculated formation energy ... 1.906 eV per atom



10.
Compound: SrTlCr
Source: Alexandria via LeMat-Bulk
Functional: GGA-PBEsol
Structure: optimized geometry

```
SrTlCr
1.0
-1.893 1.893 5.612
1.893 -1.893 5.612
1.893 1.893 -5.612
Sr Tl Cr
1 1 1
Cartesian
0.000 0.000 0.000
0.000 0.000 7.814
0.000 0.000 3.340
```

## Properties
Fermi-level density of states ... 1.34 states/eV/f.u.
Calculated formation energy ... 0.360 eV per atom



11.
Compound: BaZnSi2
Source: Alexandria via LeMat-Bulk
Functional: GGA-PBEsol
Structure: optimized geometry

```
BaZnSi2
1.0
3.642 -2.165 0.000
3.642 2.165 0.000
-2.496 0.000 5.780
Ba Zn Si
1 1 2
Cartesian
0.000 0.000 0.000
-0.061 0.000 3.620
2.399 0.000 3.082
4.816 0.000 2.232
```

## Properties
Energy relative to the elements, uncorrected ... -0.6 eV per formula unit
Fermi-level density of states ... 1.19 states/eV/f.u.



12.
Compound: RuRh2Cl
Source: Alexandria via LeMat-Bulk
Functional: GGA-PBEsol
Structure: optimized geometry

```
RuRh2Cl
1.0
2.666 -3.816 0.000
2.666 3.816 0.000
0.000 0.000 2.731
Ru Rh Cl
1 2 1
Cartesian
0.000 0.000 0.000
1.333 1.908 1.365
1.333 -1.908 1.365
2.666 0.000 0.000
```

## Properties
Distance to the lowest polymorph of the same formula ... 0.389 eV per atom
Energy relative to the elements, uncorrected ... 2.8 eV per formula unit
Fermi-level density of states ... 5.89 states/eV/f.u.



13.
Compound: YCdP
Source: Alexandria via LeMat-Bulk
Functional: GGA-PBEsol
Structure: optimized geometry

```
YCdP
1.0
0.000 2.728 5.622
2.134 0.000 5.622
2.134 2.728 0.000
Y Cd P
1 1 1
Cartesian
0.000 0.000 0.000
2.134 2.728 3.265
2.134 2.728 7.195
```

## Properties
Fermi-level density of states ... 0.64 states/eV/f.u.
Calculated formation energy ... -0.526 eV per atom



14.
Compound: NaNiBi2
Source: Alexandria via LeMat-Bulk
Functional: GGA-PBEsol
Structure: optimized geometry

```
NaNiBi2
1.0
-2.518 2.518 8.625
2.518 -2.518 8.625
2.518 2.518 -8.625
Na Ni Bi
2 2 4
Cartesian
0.000 0.000 0.000
0.000 2.518 4.313
2.518 0.000 4.313
0.000 0.000 8.625
1.259 -0.868 6.469
1.649 1.259 2.156
1.259 3.386 -2.156
0.868 1.259 10.781
```

## Properties
Fermi-level density of states ... 3.32 states/eV/f.u.
Calculated formation energy ... 0.228 eV per atom



15.
Compound: LaCuB2
Source: Alexandria via LeMat-Bulk
Functional: GGA-PBEsol
Structure: optimized geometry

```
LaCuB2
1.0
0.000 3.046 3.046
3.046 0.000 3.046
3.046 3.046 0.000
La Cu B
1 1 2
Cartesian
0.000 0.000 0.000
3.046 3.046 3.046
1.523 1.523 1.523
4.569 4.569 4.569
```

## Properties
Fermi-level density of states ... 1.83 states/eV/f.u.
Calculated formation energy ... 0.687 eV per atom



16.
Compound: ZrInTe2
Source: Alexandria via LeMat-Bulk
Functional: GGA-PBEsol
Structure: optimized geometry

```
ZrInTe2
1.0
5.229 0.000 0.000
0.000 1.969 5.075
0.000 -1.969 5.075
Zr In Te
1 1 2
Cartesian
0.000 0.000 0.000
2.615 0.000 4.097
0.000 0.000 7.306
2.615 0.000 1.199
```

## Properties
Energy relative to the elements, uncorrected ... -1.6 eV per formula unit
Fermi-level density of states ... 1.55 states/eV/f.u.



17.
Compound: NiRuAu2
Source: Alexandria via LeMat-Bulk
Functional: GGA-PBEsol
Structure: optimized geometry

```
NiRuAu2
1.0
1.373 0.793 8.923
-1.373 0.793 8.923
0.000 -1.586 8.923
Ni Ru Au
1 1 2
Cartesian
0.000 0.000 0.000
0.000 0.000 19.731
0.000 0.000 6.761
0.000 0.000 13.159
```

## Properties
Distance to the lowest polymorph of the same formula ... 0.000 eV per atom
Fermi-level density of states ... 3.64 states/eV/f.u.
Calculated formation energy ... 0.214 eV per atom



18.
Compound: Ni9S8
Source: Alexandria via LeMat-Bulk
Functional: GGA-PBEsol
Structure: optimized geometry

```
Ni9S8
1.0
4.552 -5.493 0.000
4.552 5.493 0.000
0.000 0.000 9.226
Ni S
18 16
Cartesian
0.000 0.000 0.000
0.000 0.000 2.626
0.000 0.000 6.600
2.276 2.747 7.100
3.385 3.459 3.479
2.033 0.000 4.613
4.552 2.903 0.000
3.420 0.920 1.150
5.720 3.459 5.746
3.420 -0.920 8.076
2.276 -2.747 2.126
4.552 0.000 4.613
5.685 0.920 8.076
3.385 -3.459 5.746
5.685 -0.920 1.150
4.552 -2.903 0.000
7.072 0.000 4.613
5.720 -3.459 3.479
1.228 1.267 1.283
3.482 3.822 5.707
1.228 -1.267 7.942
3.358 1.273 3.353
3.458 1.338 8.163
5.623 3.822 3.519
3.358 -1.273 5.873
5.647 1.338 1.063
3.458 -1.338 1.063
5.747 1.273 5.873
3.482 -3.822 3.519
5.647 -1.338 8.163
5.747 -1.273 3.353
7.877 1.267 7.942
5.623 -3.822 5.707
7.877 -1.267 1.283
```

## Properties
Energy relative to the elements, uncorrected ... -7.8 eV per formula unit
Fermi-level density of states ... 10.83 states/eV/f.u.



19.
Compound: Sr3Ti2Mn2BiO12
Source: Alexandria via LeMat-Bulk
Functional: GGA-PBEsol
Structure: optimized geometry

```
Sr3Ti2Mn2BiO12
1.0
2.729 1.576 8.876
-2.729 1.576 8.876
0.000 -3.152 8.876
Sr Ti Mn Bi O
3 2 2 1 12
Cartesian
0.000 0.000 0.000
0.000 0.000 6.598
0.000 0.000 20.029
0.000 0.000 10.003
0.000 0.000 16.624
0.000 0.000 3.338
0.000 0.000 23.289
0.000 0.000 13.313
-2.729 0.000 13.313
-1.365 0.788 4.438
-1.365 -0.788 8.876
-1.359 -0.785 15.475
0.000 -1.569 11.152
-1.359 0.785 11.152
1.365 0.788 4.438
-1.365 0.788 17.751
0.000 1.576 8.876
1.359 -0.785 15.475
0.000 1.569 15.475
1.359 0.785 11.152
```

## Properties
Energy relative to the elements, uncorrected ... -50.3 eV per formula unit
Fermi-level density of states ... 4.17 states/eV/f.u.



20.
Compound: HgH2Pt
Source: Alexandria via LeMat-Bulk
Functional: GGA-PBEsol
Structure: optimized geometry

```
HgH2Pt
1.0
-2.396 2.396 4.166
2.396 -2.396 4.166
2.396 2.396 -4.166
Hg H Pt
2 4 2
Cartesian
0.000 0.000 0.000
0.000 2.396 2.083
1.198 -0.615 3.124
1.782 1.198 1.041
1.198 3.011 -1.041
0.615 1.198 5.207
2.396 0.000 2.083
0.000 0.000 4.166
```

## Properties
Total DFT energy (no corrections) ... -3.335 eV per atom
Fermi-level density of states ... 1.06 states/eV/f.u.